No. 1
SrSi4Pd2 | PBE | optimized geometry

Space-group type   No. 71

a = 5.824 Å, b = 5.812 Å, c = 5.812 Å
α = 75.82°, β = 59.89°, γ = 59.89°
Element x y z (fractional)
Sr 0.500 0.000 0.000
Si 0.000 0.235 0.765
Si 0.000 0.765 0.235
Si 0.234 0.766 0.766
Si 0.766 0.234 0.234
Pd 0.751 0.500 0.500
Pd 0.249 0.500 0.500

=====

No. 2
Sr2Si2Pd | PBE | optimized geometry

Space-group type   No. 38

a = 4.467 Å, b = 4.203 Å, c = 6.786 Å
α = 108.04°, β = 90.00°, γ = 90.00°
Element x y z (fractional)
Sr 0.000 0.682 0.363
Sr 0.000 0.932 0.864
Si 0.500 0.500 0.001
Si 0.500 0.314 0.628
Pd 0.500 0.114 0.228

=====

No. 3
SrSi4Pd4 | PBE | optimized geometry

Space-group type   No. 137
ΔE to the lowest computed polymorph   36 meV/atom

a = 6.071 Å, b = 6.071 Å, c = 8.413 Å
α = 90.00°, β = 90.00°, γ = 90.00°
Element x y z (fractional)
Sr 0.500 0.500 0.500
Sr 0.000 0.000 0.000
Si 0.000 0.695 0.669
Si 0.695 0.000 0.331
Si 0.500 0.805 0.831
Si 0.805 0.500 0.169
Si 0.000 0.305 0.669
Si 0.305 0.000 0.331
Si 0.500 0.195 0.831
Si 0.195 0.500 0.169
Pd 0.736 0.000 0.625
Pd 0.500 0.236 0.125
Pd 0.764 0.500 0.875
Pd 0.264 0.000 0.625
Pd 0.236 0.500 0.875
Pd 0.500 0.764 0.125
Pd 0.000 0.264 0.375
Pd 0.000 0.736 0.375

=====

No. 4
SrSi4Pd8 | PBE | optimized geometry

Space-group type   No. 139

a = 5.293 Å, b = 6.755 Å, c = 6.755 Å
α = 81.17°, β = 66.93°, γ = 66.93°
Element x y z (fractional)
Si 0.000 0.000 0.500
Si 0.500 0.000 0.500
Si 0.500 0.500 0.000
Si 0.000 0.500 0.000
Pd 0.334 0.666 0.666
Pd 0.666 0.334 0.334
Pd 0.273 0.227 0.227
Pd 0.000 0.334 0.666
Pd 0.500 0.773 0.227
Pd 0.000 0.666 0.334
Pd 0.727 0.773 0.773
Pd 0.500 0.227 0.773
Sr 0.000 0.000 0.000

=====

Quick rundown of energy relative to the elements, uncorrected, same order as above: -39 -46 -59 -54 kJ per mole of atoms
Quick rundown of mass density, same order as above: 4.66 4.63 6.70 8.54 g/cm3